Record 1
A relaxed RbCaNb crystal, computed with PBE.

Cell lengths 10.9726, 6.0847, 7.5456 Å; angles 90.00, 104.31, 90.00 degrees
Positions (direct):
1 Rb 0.0000 0.0000 0.0000
2 Rb 0.1386 0.5000 0.9084
3 Rb 0.5000 0.5000 0.0000
4 Rb 0.6386 0.0000 0.9084
5 Ca 0.2650 0.5000 0.4929
6 Ca 0.3999 0.0000 0.3471
7 Ca 0.7650 0.0000 0.4929
8 Ca 0.8999 0.5000 0.3471
9 Nb 0.1094 0.0000 0.5060
10 Nb 0.2838 0.0000 0.7150
11 Nb 0.6094 0.5000 0.5060
12 Nb 0.7838 0.5000 0.7150

Properties
Its total DFT energy (no corrections) is -3.515 eV/atom. Its density is 2.972 g/cm³. The energy above the lowest structure with this stoichiometry is 0.486 eV per atom.

=====

Record 2
A relaxed TeC3 crystal, computed with PBE.

Cell lengths 4.7158, 4.7158, 11.3782 Å; angles 90.00, 90.00, 120.00 degrees
Positions (direct):
1 Te 0.0000 0.0000 0.0000
2 Te 0.0000 0.0000 0.5000
3 Te 0.3333 0.6667 0.2500
4 Te 0.6667 0.3333 0.7500
5 C 0.0000 0.5000 0.0000
6 C 0.0000 0.5000 0.5000
7 C 0.2319 0.4638 0.7500
8 C 0.2319 0.7681 0.7500
9 C 0.4638 0.2319 0.2500
10 C 0.5000 0.0000 0.0000
11 C 0.5000 0.0000 0.5000
12 C 0.5000 0.5000 0.0000
13 C 0.5000 0.5000 0.5000
14 C 0.5362 0.7681 0.7500
15 C 0.7681 0.2319 0.2500
16 C 0.7681 0.5362 0.2500

Properties
Its total DFT energy (no corrections) is -4.753 eV/atom. Its density is 4.960 g/cm³. The energy above the lowest structure with this stoichiometry is 1.985 eV per atom. The value obtained for the uncorrected formation energy is 2.9508 eV per atom.

=====

Record 3
A relaxed SrTl2Ir crystal, computed with PBE.

Cell lengths 3.4296, 3.6804, 7.7457 Å; angles 90.00, 90.00, 90.00 degrees
Positions (direct):
1 Sr 0.0000 0.0000 0.0000
2 Tl 0.5000 0.5000 0.2994
3 Tl 0.5000 0.5000 0.7006
4 Ir 0.0000 0.0000 0.5000

Properties
Its total DFT energy (no corrections) is -3.731 eV/atom. Its density is 11.695 g/cm³.

=====

Record 4
A relaxed NaMg3Au crystal, computed with PBE.

Cell lengths 5.2157, 5.2157, 5.2157 Å; angles 90.00, 90.00, 90.00 degrees
Positions (direct):
1 Na 0.0000 0.0000 0.0000
2 Mg 0.0000 0.0000 0.5000
3 Mg 0.0000 0.5000 0.0000
4 Mg 0.5000 0.0000 0.0000
5 Au 0.5000 0.5000 0.5000

Properties
Its total DFT energy (no corrections) is -1.137 eV/atom. Its density is 3.427 g/cm³. The energy above the lowest structure with this stoichiometry is 0.896 eV per atom.